Entry 1:
# PBE YCuI2, optimized geometry
data_YCuI2
_chemical_formula_sum 'Y4 Cu4 I8'
_symmetry_space_group_name_H-M 'I -4 2 d'
_symmetry_Int_Tables_number 122
_symmetry_space_group_name_Hall 'I -4 2bw'
_cell_length_a 6.912
_cell_length_b 6.912
_cell_length_c 11.502
_cell_angle_alpha 90.00
_cell_angle_beta 90.00
_cell_angle_gamma 90.00
loop_
_atom_site_label
_atom_site_fract_x
_atom_site_fract_y
_atom_site_fract_z
_atom_site_occupancy
Y1 0.000 0.000 0.000 1
Cu1 0.000 0.000 0.500 1
I1 0.193 0.250 0.625 1
# Raw total energy (eV/atom): -3.5243
# Theoretical density (g/cm3): 4.91
# Energy above the most stable polymorph in this dataset (eV/atom): 0.1797
# Formation energy without anion corrections (eV/atom): -0.109

Entry 2:
# PBE RbLaRuO6, optimized geometry
data_RbLaRuO6
_chemical_formula_sum 'Rb1 La1 Ru1 O6'
_symmetry_space_group_name_H-M 'P 3 1 2'
_symmetry_Int_Tables_number 149
_symmetry_space_group_name_Hall 'P 3 2'
_cell_length_a 5.8011
_cell_length_b 5.8011
_cell_length_c 6.0869
_cell_angle_alpha 90.00
_cell_angle_beta 90.00
_cell_angle_gamma 120.00
loop_
_atom_site_label
_atom_site_fract_x
_atom_site_fract_y
_atom_site_fract_z
_atom_site_occupancy
Rb1 0.0000 0.0000 0.0000 1
La1 0.3333 0.6667 0.5000 1
Ru1 0.6667 0.3333 0.5000 1
O1 0.4070 0.0597 0.6777 1
# Raw total energy (eV/atom): -6.5084
# Theoretical density (g/cm3): 3.94
# Formation energy without anion corrections (eV/atom): -1.517

Entry 3:
# PBE TmPu3Ga8, optimized geometry
data_TmPu3Ga8
_chemical_formula_sum 'Tm3 Pu9 Ga24'
_symmetry_space_group_name_H-M 'R 3 m'
_symmetry_Int_Tables_number 160
_symmetry_space_group_name_Hall 'R 3 -2"'
_cell_length_a 5.4945
_cell_length_b 5.4945
_cell_length_c 27.0059
_cell_angle_alpha 90.00
_cell_angle_beta 90.00
_cell_angle_gamma 120.00
loop_
_atom_site_label
_atom_site_fract_x
_atom_site_fract_y
_atom_site_fract_z
_atom_site_occupancy
Tm1 0.0000 0.0000 0.0000 1
Pu1 0.0000 0.0000 0.1266 1
Pu2 0.0000 0.0000 0.4982 1
Pu3 0.0000 0.0000 0.6195 1
Ga1 0.0000 0.0000 0.3107 1
Ga2 0.0000 0.0000 0.8109 1
Ga3 0.0011 0.5005 0.5624 1
Ga4 0.1674 0.3348 0.3931 1
# Raw total energy (eV/atom): -6.3871
# Theoretical density (g/cm3): 10.29

Entry 4:
# PBE SrMg3Cd3, optimized geometry
data_SrMg3Cd3
_chemical_formula_sum 'Sr2 Mg6 Cd6'
_symmetry_space_group_name_H-M 'P m -3 n'
_symmetry_Int_Tables_number 223
_symmetry_space_group_name_Hall '-P 4n 2 3'
_cell_length_a 7.740
_cell_length_b 7.740
_cell_length_c 7.740
_cell_angle_alpha 90.00
_cell_angle_beta 90.00
_cell_angle_gamma 90.00
loop_
_atom_site_label
_atom_site_fract_x
_atom_site_fract_y
_atom_site_fract_z
_atom_site_occupancy
Sr1 0.000 0.000 0.000 1
Mg1 0.000 0.250 0.500 1
Cd1 0.000 0.500 0.250 1
# Raw total energy (eV/atom): -1.1157
# Theoretical density (g/cm3): 3.56
# Energy above the most stable polymorph in this dataset (eV/atom): 0.3244

Entry 5:
# PBE AcPrNd2, optimized geometry
data_AcPrNd2
_chemical_formula_sum 'Ac3 Pr3 Nd6'
_symmetry_space_group_name_H-M 'R -3 m'
_symmetry_Int_Tables_number 166
_symmetry_space_group_name_Hall '-R 3 2"'
_cell_length_a 3.6806
_cell_length_b 3.6806
_cell_length_c 39.0476
_cell_angle_alpha 90.00
_cell_angle_beta 90.00
_cell_angle_gamma 120.00
loop_
_atom_site_label
_atom_site_fract_x
_atom_site_fract_y
_atom_site_fract_z
_atom_site_occupancy
Ac1 0.0000 0.0000 0.0000 1
Pr1 0.0000 0.0000 0.5000 1
Nd1 0.0000 0.0000 0.4118 1
# Raw total energy (eV/atom): -4.4196
# Theoretical density (g/cm3): 7.14
# Energy above the most stable polymorph in this dataset (eV/atom): 0.1663

Entry 6:
# PBE LaScSe2N, optimized geometry
data_LaScSe2N
_chemical_formula_sum 'La1 Sc1 Se2 N1'
_symmetry_space_group_name_H-M 'P 4/m m m'
_symmetry_Int_Tables_number 123
_symmetry_space_group_name_Hall '-P 4 2'
_cell_length_a 5.719
_cell_length_b 5.719
_cell_length_c 4.145
_cell_angle_alpha 90.00
_cell_angle_beta 90.00
_cell_angle_gamma 90.00
loop_
_atom_site_label
_atom_site_fract_x
_atom_site_fract_y
_atom_site_fract_z
_atom_site_occupancy
La1 0.000 0.000 0.000 1
Sc1 0.500 0.500 0.500 1
Se1 0.000 0.500 0.000 1
N1 0.000 0.000 0.500 1
# Raw total energy (eV/atom): -5.5452
# Theoretical density (g/cm3): 4.36
# Energy above the most stable polymorph in this dataset (eV/atom): 0.8732
# Formation energy without anion corrections (eV/atom): -0.235

Q: Which formula does entry 5 have?
A: AcPrNd2

Q: The highest theoretical density belongs to which entry?
A: TmPu3Ga8